This record from Alexandria describes an optimized crystal structure of La5NiPb2. The functional is PBE-GGA.

Cell and atoms, written as CIF:
```
data_La5NiPb2
_cell_length_a 8.329
_cell_length_b 12.964
_cell_length_c 4.801
_cell_angle_alpha 90.00
_cell_angle_beta 90.00
_cell_angle_gamma 90.00
_symmetry_space_group_name_H-M 'P b a m'
_symmetry_Int_Tables_number 55
_symmetry_space_group_name_Hall '-P 2 2ab'
loop_
_atom_site_label
_atom_site_type_symbol
_atom_site_fract_x
_atom_site_fract_y
_atom_site_fract_z
La1 La 0.000 0.000 0.000
La2 La 0.138 0.296 0.000
La3 La 0.176 0.562 0.500
Ni1 Ni 0.000 0.500 0.000
Pb1 Pb 0.077 0.829 0.500
```

- ΔE_f: -3.77 eV per formula unit
- V: 518.4 Å³ per cell



This record from Alexandria describes an optimized crystal structure of Na2CuO2. The functional is PBE-GGA.

Cell and atoms, written as CIF:
```
data_Na2CuO2
_cell_length_a 5.721
_cell_length_b 5.721
_cell_length_c 3.483
_cell_angle_alpha 90.00
_cell_angle_beta 90.00
_cell_angle_gamma 90.00
_symmetry_space_group_name_H-M 'P 4/m b m'
_symmetry_Int_Tables_number 127
_symmetry_space_group_name_Hall '-P 4 2ab'
loop_
_atom_site_label
_atom_site_type_symbol
_atom_site_fract_x
_atom_site_fract_y
_atom_site_fract_z
Na1 Na 0.139 0.361 0.000
Cu1 Cu 0.000 0.000 0.500
O1 O 0.183 0.683 0.500
```

- V: 114.0 Å³ per cell
- ΔE_f (raw): -0.84 eV/atom
- Distance to the lowest polymorph of the same formula: 0.228 eV per atom



This record from Alexandria describes an optimized crystal structure of KCd2Sb. The functional is PBE-GGA.

Cell and atoms, written as CIF:
```
data_KCd2Sb
_cell_length_a 4.859
_cell_length_b 4.859
_cell_length_c 4.798
_cell_angle_alpha 90.00
_cell_angle_beta 90.00
_cell_angle_gamma 90.00
_symmetry_space_group_name_H-M 'P 4/m m m'
_symmetry_Int_Tables_number 123
_symmetry_space_group_name_Hall '-P 4 2'
loop_
_atom_site_label
_atom_site_type_symbol
_atom_site_fract_x
_atom_site_fract_y
_atom_site_fract_z
K1 K 0.000 0.000 0.000
Cd1 Cd 0.000 0.500 0.500
Sb1 Sb 0.500 0.500 0.000
```

- V: 113.3 Å³ per cell
- ΔE_f (raw): -0.01 eV/atom



Number 1: magnetic moment 0.0 μB per formula unit. Number 2: magnetic moment 0.2 μB per formula unit. Number 3: magnetic moment 0.0 μB per formula unit.